DFT (GGA-PBE) results for an optimized crystal structure of Cs5Li2Br6.

Its energy relative to the elements, uncorrected is -1.5232 eV/atom.

It has space group Pbam (No. 55), with a = 14.667 Å, b = 18.027 Å, c = 4.857 Å, α = 90.00°, β = 90.00° and γ = 90.00°. The distinct sites, in fractional coordinates, are Cs at (0.000, 0.000, 0.000), Cs at (0.128, 0.454, 0.000), Cs at (0.188, 0.714, 0.000), Li at (0.065, 0.277, 0.500), Br at (0.050, 0.214, 0.000), Br at (0.051, 0.610, 0.500) and Br at (0.225, 0.338, 0.500).